Computed, not measured: an optimized crystal structure of BaSnIN2 at the PBE level of DFT.

Structure (POSCAR):
```
BaSnIN2
1.0
-1.5215 -1.2360 4.0902
-1.8732 -3.7093 -1.8177
5.0569 -3.0272 0.9664
I N Ba Sn
1 2 1 1
Direct
0.0000 0.0000 0.5000 I
0.0000 0.5000 0.0000 N
0.5000 0.0000 0.0000 N
0.5000 0.5000 0.5000 Ba
0.0000 0.0000 0.0000 Sn
```

Computed properties:
total magnetization: 1.1 μB/cell
crystal system: tetragonal
D(E_F): 2.14 states/eV per cell
DFT total energy: -4.327 eV/atom

***

Computed, not measured: an optimized crystal structure of BaTb2Mg at the PBE level of DFT.

Structure (POSCAR):
```
BaTb2Mg
1.0
3.8601 0.0000 0.0000
0.0000 3.8601 0.0000
0.0000 0.0000 9.5791
Mg Tb Ba
1 2 1
Direct
0.5000 0.5000 0.0000 Mg
0.0000 0.0000 0.8140 Tb
0.0000 0.0000 0.1860 Tb
0.5000 0.5000 0.5000 Ba
```

Computed properties:
total magnetization: 0.0 μB/cell
crystal system: tetragonal
D(E_F): 4.37 states/eV per cell
ΔH_f (0 K): 9 kJ per mole of atoms
DFT total energy: -3.097 eV/atom

***

Computed, not measured: an optimized crystal structure of AcHo3Pd at the PBE level of DFT.

Structure (POSCAR):
```
AcHo3Pd
1.0
5.5139 0.0000 0.0000
0.0000 5.5139 0.0000
0.0000 0.0000 5.5139
Ac Ho Pd
1 3 1
Direct
0.5000 0.5000 0.5000 Ac
0.0000 0.5000 0.0000 Ho
0.0000 0.0000 0.5000 Ho
0.5000 0.0000 0.0000 Ho
0.0000 0.0000 0.0000 Pd
```

Computed properties:
total magnetization: 0.0 μB/cell
crystal system: cubic
D(E_F): 8.27 states/eV per cell
ΔH_f (0 K): -22 kJ per mole of atoms
DFT total energy: -4.838 eV/atom

***

Computed, not measured: an optimized crystal structure of PuUCoPt at the PBE level of DFT.

Structure (POSCAR):
```
PuUCoPt
1.0
-3.1093 3.3338 0.6411
-3.9125 -0.0040 -2.4260
-3.9965 -0.9486 2.0789
Pu U Co Pt
1 1 1 1
Direct
0.2500 0.2500 0.2500 Pu
0.0000 0.0000 0.0000 U
0.5000 0.5000 0.5000 Co
0.7500 0.7500 0.7500 Pt
```

Computed properties:
total magnetization: 5.1 μB/cell
crystal system: cubic
D(E_F): 5.05 states/eV per cell
ΔH_f (0 K): -44 kJ per mole of atoms
DFT total energy: -10.151 eV/atom

***

Computed, not measured: an optimized crystal structure of VGeRh3 at the PBE level of DFT.

Structure (POSCAR):
```
VGeRh3
1.0
8.4104 1.5480 1.2184
3.4640 6.4401 0.1307
3.4640 1.6403 6.2291
V Ge Rh
4 4 12
Direct
0.8353 0.4749 0.7668 V
0.6647 0.2332 0.5251 V
0.1647 0.5251 0.2332 V
0.3353 0.7668 0.4749 V
0.2500 0.8971 0.1029 Ge
0.7500 0.1029 0.8971 Ge
0.2500 0.3638 0.6362 Ge
0.7500 0.6362 0.3638 Ge
0.6441 0.7769 0.0332 Rh
0.8559 0.9668 0.2231 Rh
0.3559 0.2231 0.9668 Rh
0.1441 0.0332 0.7769 Rh
0.9339 0.3292 0.0986 Rh
0.5661 0.9014 0.6708 Rh
0.0661 0.6708 0.9014 Rh
0.4339 0.0986 0.3292 Rh
0.4921 0.5355 0.7936 Rh
0.0079 0.2064 0.4645 Rh
0.5079 0.4645 0.2064 Rh
0.9921 0.7936 0.5355 Rh
```

Computed properties:
total magnetization: 0.0 μB/cell
crystal system: monoclinic
D(E_F): 16.78 states/eV per cell
ΔH_f (0 K): -35 kJ per mole of atoms
DFT total energy: -7.520 eV/atom

***

Computed, not measured: an optimized crystal structure of LiRh2Se at the PBE level of DFT.

Structure (POSCAR):
```
LiRh2Se
1.0
-1.3983 1.5195 2.1362
-0.6818 -3.2642 1.8756
4.3468 0.5160 2.4782
Li Rh Se
1 2 1
Direct
0.5000 0.5000 0.7713 Li
0.0000 0.0000 0.9774 Rh
0.5000 0.5000 0.2721 Rh
0.0000 0.0000 0.4792 Se
```

Computed properties:
total magnetization: 0.0 μB/cell
crystal system: orthorhombic
D(E_F): 3.15 states/eV per cell
DFT total energy: -5.227 eV/atom